[1]
RbZr4Te8 (PBE, optimized geometry); energy relative to the elements, uncorrected = -11.6 eV per formula unit; theoretical density = 5.7 Mg/m³; total magnetic moment = 0.0000 μB/atom
1.0
-2.470 -2.849 1.426
-2.699 -4.748 -8.467
6.889 -8.471 0.705
Te Zr Rb
8 4 1
Direct
0.214 0.684 0.889
0.818 0.320 0.045
0.891 0.658 0.559
0.480 0.332 0.708
0.552 0.671 0.225
0.855 0.999 0.290
0.141 0.345 0.374
0.176 0.004 0.643
0.362 0.837 0.440
0.670 0.166 0.494
0.847 0.497 0.810
0.185 0.507 0.123
0.515 0.002 0.967

=====

[2]
Rb4Th (PBE, optimized geometry); theoretical density = 2.1 Mg/m³; total magnetic moment = 0.9387 μB/atom; ΔE_f = 939 meV per atom
1.0
7.642 0.000 0.000
0.000 7.642 0.000
0.000 0.000 7.642
Rb Th
4 1
Direct
0.500 0.000 0.500
0.500 0.500 0.000
0.000 0.500 0.500
0.000 0.000 0.000
0.500 0.500 0.500

=====

[3]
RbTh4 (PBE, optimized geometry); theoretical density = 9.4 Mg/m³; total magnetic moment = 0.0000 μB/atom; ΔE_f = 1558 meV per atom
1.0
-2.956 3.736 3.013
-4.697 -1.522 -2.720
-0.990 -3.937 3.911
Th Rb
4 1
Direct
0.500 0.500 0.000
0.000 0.000 0.000
0.000 0.500 0.500
0.500 0.000 0.500
0.500 0.500 0.500

=====

[4]
RbThTl2 (PBE, optimized geometry); theoretical density = 9.1 Mg/m³; total magnetic moment = 0.0000 μB/atom; distance to the lowest polymorph of the same formula = 0.0841 eV per atom; ΔE_f = 60 meV per atom
1.0
3.418 0.000 0.000
0.000 6.216 0.000
0.000 0.000 6.216
Tl Th Rb
2 1 1
Direct
0.000 0.000 0.500
0.000 0.500 0.000
0.500 0.000 0.000
0.500 0.500 0.500

=====

[5]
RbThTl2 (PBE, optimized geometry); theoretical density = 8.9 Mg/m³; total magnetic moment = 0.0000 μB/atom; distance to the lowest polymorph of the same formula = 0.0000 eV per atom; ΔE_f = -24 meV per atom
1.0
3.637 0.000 0.000
0.000 3.637 0.000
0.000 0.000 10.256
Rb Th Tl
1 1 2
Direct
0.500 0.500 0.500
0.500 0.500 0.000
0.000 0.000 0.778
0.000 0.000 0.222

=====

[6]
RbTi (PBE, optimized geometry); theoretical density = 2.1 Mg/m³; total magnetic moment = 0.4214 μB/atom; distance to the lowest polymorph of the same formula = 0.5240 eV per atom; ΔE_f = 1172 meV per atom
1.0
16.287 0.000 0.000
0.000 16.287 0.000
0.000 0.000 3.128
Ti Rb
8 8
Direct
0.188 0.250 0.000
0.312 0.250 0.500
0.250 0.688 0.500
0.750 0.312 0.500
0.750 0.188 0.000
0.250 0.812 0.000
0.812 0.750 0.000
0.688 0.750 0.500
0.249 0.465 0.000
0.035 0.749 0.500
0.749 0.965 0.500
0.965 0.251 0.500
0.465 0.751 0.000
0.751 0.535 0.000
0.535 0.249 0.000
0.251 0.035 0.500

=====

[7]
Rb3Ti (PBE, optimized geometry); theoretical density = 2.1 Mg/m³; total magnetic moment = 0.8123 μB/atom; distance to the lowest polymorph of the same formula = 0.0000 eV per atom; ΔE_f = 894 meV per atom
1.0
-1.692 4.903 5.398
4.737 -1.530 5.591
1.478 1.259 -7.230
Ti Rb
1 3
Direct
0.000 0.000 0.000
0.250 0.750 0.500
0.500 0.500 0.000
0.750 0.250 0.500

=====

[8]
RbTi (PBE, optimized geometry); theoretical density = 2.1 Mg/m³; total magnetic moment = 0.7630 μB/atom; distance to the lowest polymorph of the same formula = 0.8495 eV per atom; ΔE_f = 1497 meV per atom
1.0
-0.770 7.474 1.096
-7.201 -1.059 2.163
2.238 -0.805 7.056
Ti Rb
4 4
Direct
0.095 0.095 0.500
0.905 0.905 0.500
0.405 0.595 0.000
0.595 0.405 0.000
0.668 0.332 0.500
0.832 0.832 0.000
0.168 0.168 0.000
0.332 0.668 0.500

=====

[9]
RbTi (PBE, optimized geometry); theoretical density = 2.5 Mg/m³; total magnetic moment = 0.2411 μB/atom; distance to the lowest polymorph of the same formula = 0.0000 eV per atom; ΔE_f = 648 meV per atom
1.0
-5.675 11.681 4.935
-11.656 -6.933 3.008
1.299 -0.758 3.287
Rb Ti
8 8
Direct
0.188 0.884 0.000
0.312 0.616 0.500
0.384 0.312 0.500
0.116 0.188 0.000
0.812 0.116 0.000
0.884 0.812 0.000
0.616 0.688 0.500
0.688 0.384 0.500
0.087 0.452 0.500
0.548 0.087 0.500
0.452 0.913 0.500
0.413 0.048 0.000
0.587 0.952 0.000
0.913 0.548 0.500
0.952 0.413 0.000
0.048 0.587 0.000

=====

[10]
Rb3Ti (PBE, optimized geometry); theoretical density = 2.1 Mg/m³; total magnetic moment = 0.8787 μB/atom; distance to the lowest polymorph of the same formula = 0.0062 eV per atom; ΔE_f = 900 meV per atom
1.0
4.448 -7.703 0.000
4.448 7.703 0.000
0.000 0.000 7.032
Rb Ti
6 2
Direct
0.823 0.646 0.750
0.177 0.823 0.250
0.177 0.354 0.250
0.646 0.823 0.250
0.823 0.177 0.750
0.354 0.177 0.750
0.333 0.667 0.750
0.667 0.333 0.250

=====

[11]
RbTi (PBE, optimized geometry); theoretical density = 1.3 Mg/m³; total magnetic moment = 0.6205 μB/atom; distance to the lowest polymorph of the same formula = 0.4751 eV per atom; ΔE_f = 1123 meV per atom
1.0
11.016 0.000 0.000
0.000 11.016 0.000
0.000 0.000 11.016
Ti Rb
8 8
Direct
0.080 0.080 0.080
0.580 0.580 0.580
0.920 0.920 0.080
0.420 0.580 0.420
0.920 0.080 0.920
0.580 0.420 0.420
0.080 0.920 0.920
0.420 0.420 0.580
0.715 0.715 0.285
0.785 0.215 0.215
0.785 0.785 0.785
0.285 0.715 0.715
0.715 0.285 0.715
0.215 0.215 0.785
0.215 0.785 0.215
0.285 0.285 0.285

=====

[12]
Rb3Ti (PBE, optimized geometry); theoretical density = 2.0 Mg/m³; total magnetic moment = 0.8133 μB/atom; distance to the lowest polymorph of the same formula = 0.0106 eV per atom; ΔE_f = 904 meV per atom
1.0
-2.172 0.169 -5.907
-4.812 -3.704 1.664
-3.430 5.088 1.407
Rb Ti
3 1
Direct
0.500 0.500 0.000
0.000 0.500 0.500
0.500 0.000 0.500
0.000 0.000 0.000

=====

Which formula does entry 11 have?
RbTi